# Ho2Tm2Mg5

A geometry-optimized Ho2Tm2Mg5 structure (PBE, Alexandria).

a b c (Å): 9.4712 9.4712 9.4712
angles (deg): 85.35 107.60 141.15
Closest atoms and distances in Å follow each position.
Atoms (fractional coordinates):
Ho 0.0000 0.0000 0.0000  6 Mg 3.20-3.58, 2 Tm 3.43, 2 Ho 3.50
Ho 0.0000 0.5000 0.5000  6 Mg 3.20-3.58, 2 Tm 3.43, 2 Ho 3.50
Ho 0.9297 0.6899 0.7398  6 Mg 3.22-3.51, 2 Tm 3.44, 2 Ho 3.50
Ho 0.9500 0.1899 0.2602  6 Mg 3.22-3.51, 2 Tm 3.44, 2 Ho 3.50
Tm 0.4691 0.0952 0.6205  5 Mg 3.19-3.52, 2 Ho 3.43-3.44, 2 Tm 3.44-3.53
Tm 0.4691 0.3486 0.8739  5 Mg 3.19-3.52, 2 Ho 3.43-3.44, 2 Tm 3.44-3.53
Tm 0.4747 0.5952 0.1261  5 Mg 3.19-3.52, 2 Ho 3.43-3.44, 2 Tm 3.44-3.53
Tm 0.4747 0.8486 0.3795  5 Mg 3.19-3.52, 2 Ho 3.43-3.44, 2 Tm 3.44-3.53
Mg 0.0271 0.3387 0.8059  4 Mg 2.89-3.15, 1 Ho 3.20, 1 Tm 3.23
Mg 0.0271 0.7212 0.1884  4 Mg 2.89-3.15, 1 Ho 3.20, 1 Tm 3.23
Mg 0.3647 0.8513 0.0134  4 Mg 2.89-3.16, 1 Ho 3.22
Mg 0.4314 0.3348 0.3866  4 Mg 2.90-3.16, 2 Tm 3.19-3.22
Mg 0.4314 0.5448 0.5966  4 Mg 2.90-3.16, 2 Tm 3.19-3.22
Mg 0.5328 0.2212 0.1941  4 Mg 2.89-3.15, 1 Ho 3.20, 1 Tm 3.23
Mg 0.5328 0.8387 0.8116  4 Mg 2.89-3.15, 1 Ho 3.20, 1 Tm 3.23
Mg 0.8379 0.3513 0.9866  4 Mg 2.89-3.16, 1 Ho 3.22
Mg 0.9482 0.0448 0.6134  4 Mg 2.90-3.16, 2 Tm 3.19-3.22
Mg 0.9482 0.8348 0.4034  4 Mg 2.90-3.16, 2 Tm 3.19-3.22

# Ho4TmMg

A geometry-optimized Ho4TmMg structure (PBE, Alexandria).

a b c (Å): 3.5192 3.5192 14.3398
angles (deg): 90.00 90.00 90.00
Closest atoms and distances in Å follow each position.
Atoms (fractional coordinates):
Ho 0.0000 0.0000 0.1560  4 Mg 3.35, 8 Ho 3.49-3.52
Ho 0.0000 0.0000 0.8440  4 Mg 3.35, 8 Ho 3.49-3.52
Ho 0.5000 0.5000 0.3270  8 Ho 3.49-3.52, 4 Tm 3.51
Ho 0.5000 0.5000 0.6730  8 Ho 3.49-3.52, 4 Tm 3.51
Tm 0.0000 0.0000 0.5000  8 Ho 3.51, 4 Tm 3.52
Mg 0.5000 0.5000 0.0000  8 Ho 3.35, 4 Mg 3.52

## Properties
Its relative energy among the computed polymorphs is 0.000 eV/atom.

# Ho4Tm7Mg

A geometry-optimized Ho4Tm7Mg structure (PBE, Alexandria).

a b c (Å): 6.5939 6.7473 8.5369
angles (deg): 79.20 77.98 78.24
Closest atoms and distances in Å follow each position.
Atoms (fractional coordinates):
Ho 0.1324 0.2781 0.3318  5 Tm 3.22-3.51, 3 Ho 3.33-3.46
Ho 0.1894 0.7819 0.3105  4 Tm 3.24-3.59, 1 Mg 3.30, 3 Ho 3.33-3.46
Ho 0.8106 0.2181 0.6895  4 Tm 3.24-3.59, 1 Mg 3.30, 3 Ho 3.33-3.46
Ho 0.8676 0.7219 0.6682  5 Tm 3.22-3.51, 3 Ho 3.33-3.46
Tm 0.0446 0.2474 0.9802  1 Mg 3.15, 2 Ho 3.22-3.24, 4 Tm 3.27-3.52
Tm 0.3213 0.3975 0.6281  4 Tm 3.21-3.44, 4 Ho 3.32-3.50
Tm 0.3261 0.8908 0.6759  6 Tm 3.36-3.67, 1 Mg 3.46, 4 Ho 3.46-3.66
Tm 0.5000 0.5000 0.0000  2 Mg 3.37, 4 Ho 3.59-3.63, 4 Tm 3.63-3.64
Tm 0.6739 0.1092 0.3241  6 Tm 3.36-3.67, 1 Mg 3.46, 4 Ho 3.46-3.66
Tm 0.6787 0.6025 0.3719  4 Tm 3.21-3.44, 4 Ho 3.32-3.50
Tm 0.9554 0.7526 0.0198  1 Mg 3.15, 2 Ho 3.22-3.24, 4 Tm 3.27-3.52
Mg 0.5000 0.0000 0.0000  6 Tm 3.15-3.46, 2 Ho 3.30

## Properties
Its relative energy among the computed polymorphs is 0.039 eV/atom.

# Ho3Tm3Mg

A geometry-optimized Ho3Tm3Mg structure (PBE, Alexandria).

a b c (Å): 14.1855 14.1855 14.1855
angles (deg): 24.75 24.75 24.75
Closest atoms and distances in Å follow each position.
Atoms (fractional coordinates):
Ho 0.0987 0.4350 0.7713  2 Mg 3.35, 3 Tm 3.44-3.45, 6 Ho 3.49-3.54
Ho 0.2287 0.9013 0.5650  2 Mg 3.35, 3 Tm 3.44-3.45, 6 Ho 3.49-3.54
Ho 0.4350 0.7713 0.0987  2 Mg 3.35, 3 Tm 3.44-3.45, 6 Ho 3.49-3.54
Ho 0.5650 0.2287 0.9013  2 Mg 3.35, 3 Tm 3.44-3.45, 6 Ho 3.49-3.54
Ho 0.7713 0.0987 0.4350  2 Mg 3.35, 3 Tm 3.44-3.45, 6 Ho 3.49-3.54
Ho 0.9013 0.5650 0.2287  2 Mg 3.35, 3 Tm 3.44-3.45, 6 Ho 3.49-3.54
Tm 0.0347 0.6999 0.3677  3 Ho 3.44-3.45, 9 Tm 3.46-3.52
Tm 0.3001 0.6323 0.9653  3 Ho 3.44-3.45, 9 Tm 3.46-3.52
Tm 0.3677 0.0347 0.6999  3 Ho 3.44-3.45, 9 Tm 3.46-3.52
Tm 0.6323 0.9653 0.3001  3 Ho 3.44-3.45, 9 Tm 3.46-3.52
Tm 0.6999 0.3677 0.0347  3 Ho 3.44-3.45, 9 Tm 3.46-3.52
Tm 0.9653 0.3001 0.6323  3 Ho 3.44-3.45, 9 Tm 3.46-3.52
Mg 0.1667 0.1667 0.1667  6 Ho 3.35, 3 Mg 3.51
Mg 0.8333 0.8333 0.8333  6 Ho 3.35, 3 Mg 3.51

## Properties
Its relative energy among the computed polymorphs is 0.081 eV/atom.

# Ho3Tm2Mg3

A geometry-optimized Ho3Tm2Mg3 structure (PBE, Alexandria).

a b c (Å): 11.5876 11.5876 11.5876
angles (deg): 161.59 153.09 32.81
Closest atoms and distances in Å follow each position.
Atoms (fractional coordinates):
Ho 0.0000 0.0000 0.0000  8 Mg 3.20-3.27
Ho 0.3736 0.8736 0.5000  6 Mg 3.28-3.37, 4 Tm 3.59-3.62
Ho 0.6264 0.1264 0.5000  6 Mg 3.28-3.37, 4 Tm 3.59-3.62
Tm 0.2353 0.2353 0.0000  2 Mg 3.21, 4 Tm 3.34, 2 Ho 3.59
Tm 0.7647 0.7647 0.0000  2 Mg 3.21, 4 Tm 3.34, 2 Ho 3.59
Mg 0.1172 0.6172 0.5000  6 Ho 3.20-3.28, 2 Tm 3.21
Mg 0.5000 0.5000 0.0000  8 Ho 3.27-3.37
Mg 0.8828 0.3828 0.5000  6 Ho 3.20-3.28, 2 Tm 3.21

# Ho2TmMg

A geometry-optimized Ho2TmMg structure (PBE, Alexandria).

a b c (Å): 11.5351 11.5351 11.5351
angles (deg): 17.21 17.21 17.21
Closest atoms and distances in Å follow each position.
Atoms (fractional coordinates):
Ho 0.0000 0.0000 0.0000  6 Ho 3.45, 3 Mg 3.47, 3 Tm 3.47
Ho 0.1666 0.1666 0.1666  6 Ho 3.45, 3 Tm 3.47, 3 Mg 3.47
Tm 0.5832 0.5832 0.5832  6 Tm 3.45, 6 Ho 3.47
Mg 0.7500 0.7500 0.7500  6 Mg 3.45, 6 Ho 3.47

## Properties
Its relative energy among the computed polymorphs is 0.070 eV/atom.

# Ho2Tm4Mg

A geometry-optimized Ho2Tm4Mg structure (PBE, Alexandria).

a b c (Å): 5.9296 6.4438 11.2965
angles (deg): 90.00 105.15 90.00
Closest atoms and distances in Å follow each position.
Atoms (fractional coordinates):
Ho 0.1065 0.2500 0.0047  4 Tm 3.22-3.54, 2 Mg 3.30-3.60, 2 Ho 3.45
Ho 0.2223 0.2500 0.5769  9 Tm 3.29-3.57
Ho 0.7777 0.7500 0.4231  9 Tm 3.29-3.57
Ho 0.8935 0.7500 0.9953  4 Tm 3.22-3.54, 2 Mg 3.30-3.60, 2 Ho 3.45
Tm 0.1443 0.5024 0.2880  5 Tm 3.19-3.44, 1 Mg 3.29, 3 Ho 3.37-3.57
Tm 0.1443 0.9976 0.2880  5 Tm 3.19-3.44, 1 Mg 3.29, 3 Ho 3.37-3.57
Tm 0.3515 0.7500 0.5597  1 Mg 3.12, 4 Ho 3.29-3.35, 4 Tm 3.39-3.44
Tm 0.4722 0.7500 0.1263  3 Mg 3.19-3.40, 3 Ho 3.22-3.37, 2 Tm 3.39
Tm 0.5278 0.2500 0.8737  3 Mg 3.19-3.40, 3 Ho 3.22-3.37, 2 Tm 3.39
Tm 0.6485 0.2500 0.4403  1 Mg 3.12, 4 Ho 3.29-3.35, 4 Tm 3.39-3.44
Tm 0.8557 0.0024 0.7120  5 Tm 3.19-3.44, 1 Mg 3.29, 3 Ho 3.37-3.57
Tm 0.8557 0.4976 0.7120  5 Tm 3.19-3.44, 1 Mg 3.29, 3 Ho 3.37-3.57
Mg 0.3427 0.7500 0.8343  6 Tm 3.12-3.40, 1 Ho 3.30
Mg 0.6573 0.2500 0.1657  6 Tm 3.12-3.40, 1 Ho 3.30

## Properties
Its relative energy among the computed polymorphs is 0.000 eV/atom.

# Ho3Tm2Mg2

A geometry-optimized Ho3Tm2Mg2 structure (PBE, Alexandria).

a b c (Å): 11.6530 11.6530 3.4363
angles (deg): 90.00 90.00 154.18
Closest atoms and distances in Å follow each position.
Atoms (fractional coordinates):
Ho 0.0000 0.0000 0.0000  4 Ho 3.43-3.44, 8 Mg 3.49
Ho 0.1509 0.8491 0.0000  6 Tm 3.41-3.56, 3 Ho 3.43-3.44, 4 Mg 3.63
Ho 0.8491 0.1509 0.0000  6 Tm 3.41-3.56, 3 Ho 3.43-3.44, 4 Mg 3.63
Tm 0.2882 0.7118 0.5000  4 Tm 3.13-3.44, 1 Mg 3.24, 4 Ho 3.41
Tm 0.7118 0.2882 0.5000  4 Tm 3.13-3.44, 1 Mg 3.24, 4 Ho 3.41
Mg 0.4310 0.5690 0.5000  3 Mg 3.14-3.44, 1 Tm 3.24, 4 Ho 3.49
Mg 0.5690 0.4310 0.5000  3 Mg 3.14-3.44, 1 Tm 3.24, 4 Ho 3.49

## Properties
Its relative energy among the computed polymorphs is 0.051 eV/atom.

# Ho5Tm4Mg

A geometry-optimized Ho5Tm4Mg structure (PBE, Alexandria).

a b c (Å): 3.5190 3.5190 24.0427
angles (deg): 90.00 90.00 90.00
Closest atoms and distances in Å follow each position.
Atoms (fractional coordinates):
Ho 0.0000 0.0000 0.0000  8 Tm 3.50, 4 Ho 3.52
Ho 0.0000 0.0000 0.2045  8 Tm 3.50, 4 Ho 3.52
Ho 0.0000 0.0000 0.4073  4 Mg 3.34, 4 Tm 3.47, 4 Ho 3.52
Ho 0.0000 0.0000 0.5927  4 Mg 3.34, 4 Tm 3.47, 4 Ho 3.52
Ho 0.0000 0.0000 0.7955  8 Tm 3.50, 4 Ho 3.52
Tm 0.5000 0.5000 0.1022  8 Ho 3.50, 4 Tm 3.52
Tm 0.5000 0.5000 0.3068  8 Ho 3.47-3.50, 4 Tm 3.52
Tm 0.5000 0.5000 0.6932  8 Ho 3.47-3.50, 4 Tm 3.52
Tm 0.5000 0.5000 0.8978  8 Ho 3.50, 4 Tm 3.52
Mg 0.5000 0.5000 0.5000  8 Ho 3.34, 4 Mg 3.52

## Properties
Its relative energy among the computed polymorphs is 0.000 eV/atom.

# Ho2Tm2Mg7

A geometry-optimized Ho2Tm2Mg7 structure (PBE, Alexandria).

a b c (Å): 8.6007 8.6007 8.6007
angles (deg): 144.45 66.13 126.23
Closest atoms and distances in Å follow each position.
Atoms (fractional coordinates):
Ho 0.2181 0.0000 0.2181  8 Mg 3.13-3.43, 1 Tm 3.39
Ho 0.7819 0.0000 0.7819  8 Mg 3.13-3.43, 1 Tm 3.39
Tm 0.5209 0.0209 0.5000  6 Mg 3.06-3.38
Tm 0.8356 0.8356 0.0000  7 Mg 3.21-3.35, 2 Ho 3.39, 2 Tm 3.59
Mg 0.0624 0.6807 0.3817  3 Mg 2.90-3.17, 1 Tm 3.15
Mg 0.2483 0.2483 0.0000  6 Mg 3.12-3.17, 3 Tm 3.21-3.38
Mg 0.2989 0.6807 0.6183  3 Mg 2.90-3.17, 1 Tm 3.15
Mg 0.3767 0.5305 0.8462  5 Mg 3.12-3.49, 2 Ho 3.22, 3 Tm 3.25-3.44
Mg 0.6672 0.3110 0.3562  1 Mg 2.90, 1 Tm 3.06, 3 Ho 3.13-3.19
Mg 0.6844 0.5305 0.1538  5 Mg 3.12-3.49, 2 Ho 3.22, 3 Tm 3.25-3.44
Mg 0.9549 0.3110 0.6438  1 Mg 2.90, 1 Tm 3.06, 3 Ho 3.13-3.19

# Ho2Tm6Mg

A geometry-optimized Ho2Tm6Mg structure (PBE, Alexandria).

a b c (Å): 10.3664 10.3664 4.9556
angles (deg): 90.00 90.00 90.00
Closest atoms and distances in Å follow each position.
Atoms (fractional coordinates):
Ho 0.1662 0.1662 0.0000  10 Tm 3.46-3.49, 2 Mg 3.48
Ho 0.3338 0.6662 0.5000  10 Tm 3.46-3.49, 2 Mg 3.48
Ho 0.6662 0.3338 0.5000  10 Tm 3.46-3.49, 2 Mg 3.48
Ho 0.8338 0.8338 0.0000  10 Tm 3.46-3.49, 2 Mg 3.48
Tm 0.9997 0.3343 0.5000  8 Tm 3.44-3.48, 3 Ho 3.46-3.49, 1 Mg 3.47
Tm 0.0003 0.6657 0.5000  8 Tm 3.44-3.48, 3 Ho 3.46-3.49, 1 Mg 3.47
Tm 0.1657 0.4997 0.0000  8 Tm 3.44-3.48, 3 Ho 3.46-3.49, 1 Mg 3.47
Tm 0.1677 0.8323 0.0000  6 Tm 3.45-3.48, 4 Ho 3.46-3.47, 2 Mg 3.49
Tm 0.3323 0.3323 0.5000  6 Tm 3.45-3.48, 4 Ho 3.46-3.47, 2 Mg 3.49
Tm 0.3343 0.9997 0.5000  8 Tm 3.44-3.48, 3 Ho 3.46-3.49, 1 Mg 3.47
Tm 0.4997 0.1657 0.0000  8 Tm 3.44-3.48, 3 Ho 3.46-3.49, 1 Mg 3.47
Tm 0.5003 0.8343 0.0000  8 Tm 3.44-3.48, 3 Ho 3.46-3.49, 1 Mg 3.47
Tm 0.6657 0.0003 0.5000  8 Tm 3.44-3.48, 3 Ho 3.46-3.49, 1 Mg 3.47
Tm 0.6677 0.6677 0.5000  6 Tm 3.45-3.48, 4 Ho 3.46-3.47, 2 Mg 3.49
Tm 0.8323 0.1677 0.0000  6 Tm 3.45-3.48, 4 Ho 3.46-3.47, 2 Mg 3.49
Tm 0.8343 0.5003 0.0000  8 Tm 3.44-3.48, 3 Ho 3.46-3.49, 1 Mg 3.47
Mg 0.0000 0.0000 0.5000  8 Tm 3.47-3.49, 4 Ho 3.48
Mg 0.5000 0.5000 0.0000  8 Tm 3.47-3.49, 4 Ho 3.48

## Properties
Its relative energy among the computed polymorphs is 0.000 eV/atom.

Electronic total energy in eV/atom, matching the order above: -2.81 -4.07 -4.20 -4.01 -3.48 -3.76 -3.98 -3.66 -4.23 -2.59 -4.15
Formation energy from the elements in eV/atom, matching the order above: 0.090 -0.010 0.064 0.100 -0.051 0.043 0.113 0.036 0.006 0.069 0.030